## FeHBrO (PBE+U)

Data for a relaxed FeHBrO crystal.

Lattice parameters (Å, degrees): 3.583 3.583 5.937 107.70 107.70 58.54
Atoms (fractional coordinates):
Fe 0.000 0.000 0.000
H 0.232 0.232 0.679
Br 0.776 0.776 0.315
O 0.289 0.289 0.855

Calculated values
total energy	-19.66	eV per cell
SG	Cm